The following is a PBE calculation of a relaxed Rb2NaAg crystal, from the Alexandria database.

Cell: 11.9392 7.7071 5.0194 Å, 90.00 114.68 90.00°
Space group C2 (No. 5)
Asymmetric unit:
Rb 0.1947 0.0000 0.1951 x4
Na 0.0000 0.4806 0.0000 x2
Ag 0.0000 0.2483 0.5000 x2

Results
The value obtained for the density of states at the Fermi level is 5.052 states/eV/cell. The energy relative to the elements is 0.068 eV per atom. As for the relative energy among the computed polymorphs: 0.026 eV/atom.